Record 1
This record from the Alexandria database describes crystalline SmScTlRu at its relaxed geometry. The functional is GGA-PBE.

Calculated volume (Å³/f.u.): 89
Formation energy (meV per atom): -206
Space-group type: F-43m (216)
Calculated total energy (eV/atom): -5.879

Geometry as CIF:
```
data_SmScTlRu
_cell_length_a 5.009
_cell_length_b 5.009
_cell_length_c 5.009
_cell_angle_alpha 60.00
_cell_angle_beta 60.00
_cell_angle_gamma 60.00
_symmetry_space_group_name_H-M 'P 1'
_symmetry_Int_Tables_number 1
loop_
_symmetry_equiv_pos_as_xyz
'x,y,z'
loop_
_atom_site_label
_atom_site_fract_x
_atom_site_fract_y
_atom_site_fract_z
_atom_site_occupancy
Sm1 0.000 0.000 0.000 1
Sc1 0.500 0.500 0.500 1
Tl1 0.750 0.750 0.750 1
Ru1 0.250 0.250 0.250 1
```

Record 2
This record from the Alexandria database describes crystalline Sc3SnRu at its relaxed geometry. The functional is GGA-PBE.

Calculated volume (Å³/f.u.): 141
Formation energy (meV per atom): 922
Space-group type: Pm-3m (221)
Calculated total energy (eV/atom): -5.532

Geometry as CIF:
```
data_Sc3SnRu
_cell_length_a 5.206
_cell_length_b 5.206
_cell_length_c 5.206
_cell_angle_alpha 90.00
_cell_angle_beta 90.00
_cell_angle_gamma 90.00
_symmetry_space_group_name_H-M 'P 1'
_symmetry_Int_Tables_number 1
loop_
_symmetry_equiv_pos_as_xyz
'x,y,z'
loop_
_atom_site_label
_atom_site_fract_x
_atom_site_fract_y
_atom_site_fract_z
_atom_site_occupancy
Sc1 0.000 0.000 0.500 1
Sc2 0.000 0.500 0.000 1
Sc3 0.500 0.000 0.000 1
Sn1 0.000 0.000 0.000 1
Ru1 0.500 0.500 0.500 1
```